No. 1
This record from Alexandria via LeMat-Bulk describes Pm3NdTh after structural relaxation. The functional is GGA-PBE.

Output
energy	-5.18	eV per atom
total magnetization	0.00	μB/f.u.
calculated density	7.84	g cm⁻³

```
data_Pm3NdTh
_chemical_formula_sum 'Pm12 Nd4 Th4'
_cell_length_a 9.066
_cell_length_b 6.947
_cell_length_c 11.837
_cell_angle_alpha 90.00
_cell_angle_beta 112.72
_cell_angle_gamma 90.00
_space_group_name_H-M_alt 'P 1 21/c 1'
_space_group_IT_number 14
loop_
_space_group_symop_operation_xyz
'x,y,z'
'-x,-y,-z'
'-x,y+1/2,-z+1/2'
'x,-y+1/2,z+1/2'
loop_
_atom_site_label
_atom_site_fract_x
_atom_site_fract_y
_atom_site_fract_z
_atom_site_occupancy
Pm1 0.010 0.065 0.280 1
Pm2 0.167 0.193 0.071 1
Pm3 0.430 0.614 0.849 1
Nd1 0.245 0.706 0.048 1
Th1 0.366 0.116 0.874 1
```



No. 2
This record from Alexandria via LeMat-Bulk describes Tm2HfZr3N6 after structural relaxation. The functional is GGA-PBE.

Output
energy	-9.64	eV per atom
total magnetization	0.00	μB/f.u.
calculated density	9.59	g cm⁻³

```
data_Tm2HfZr3N6
_chemical_formula_sum 'Tm4 Hf2 Zr6 N12'
_cell_length_a 5.693
_cell_length_b 9.852
_cell_length_c 5.721
_cell_angle_alpha 90.00
_cell_angle_beta 109.41
_cell_angle_gamma 90.00
_space_group_name_H-M_alt 'C 1 2/m 1'
_space_group_IT_number 12
loop_
_space_group_symop_operation_xyz
'x,y,z'
'-x,-y,-z'
'-x,y,-z'
'x,-y,z'
'x+1/2,y+1/2,z'
'-x+1/2,-y+1/2,-z'
'-x+1/2,y+1/2,-z'
'x+1/2,-y+1/2,z'
loop_
_atom_site_label
_atom_site_fract_x
_atom_site_fract_y
_atom_site_fract_z
_atom_site_occupancy
Tm1 0.000 0.167 0.000 1
Hf1 0.000 0.500 0.000 1
Zr1 0.000 0.000 0.500 1
Zr2 0.000 0.332 0.500 1
N1 0.239 0.500 0.747 1
N2 0.245 0.338 0.250 1
```



No. 3
This record from Alexandria via LeMat-Bulk describes Gd2VCd after structural relaxation. The functional is GGA-PBE.

Output
energy	-9.00	eV per atom
total magnetization	18.09	μB/f.u.
calculated density	7.63	g cm⁻³
energy above the most stable polymorph in this dataset	0.521	eV/atom

```
data_Gd2VCd
_chemical_formula_sum 'Gd6 V3 Cd3'
_cell_length_a 3.2859
_cell_length_b 3.2859
_cell_length_c 33.3748
_cell_angle_alpha 90.00
_cell_angle_beta 90.00
_cell_angle_gamma 120.00
_space_group_name_H-M_alt 'R -3 m'
_space_group_IT_number 166
_space_group_name_Hall '-R 3 2"'
loop_
_atom_site_label
_atom_site_fract_x
_atom_site_fract_y
_atom_site_fract_z
_atom_site_occupancy
Gd1 0.0000 0.0000 0.0852 1
V1 0.0000 0.0000 0.0000 1
Cd1 0.0000 0.0000 0.5000 1
```



No. 4
This record from Alexandria via LeMat-Bulk describes HfMgPdPt after structural relaxation. The functional is GGA-PBE.

Output
energy	-6.59	eV per atom
total magnetization	0.00	μB/f.u.
calculated density	12.15	g cm⁻³

```
data_HfMgPdPt
_chemical_formula_sum 'Hf4 Mg4 Pd4 Pt4'
_cell_length_a 6.509
_cell_length_b 6.509
_cell_length_c 6.509
_cell_angle_alpha 90.00
_cell_angle_beta 90.00
_cell_angle_gamma 90.00
_space_group_name_H-M_alt 'F -4 3 m'
_space_group_IT_number 216
_space_group_name_Hall 'F -4 2 3'
loop_
_atom_site_label
_atom_site_fract_x
_atom_site_fract_y
_atom_site_fract_z
_atom_site_occupancy
Hf1 0.000 0.000 0.000 1
Mg1 0.000 0.000 0.500 1
Pd1 0.250 0.250 0.750 1
Pt1 0.250 0.250 0.250 1
```



No. 5
This record from Alexandria via LeMat-Bulk describes MnAgRh after structural relaxation. The functional is GGA-PBE.

Output
energy	-6.25	eV per atom
total magnetization	4.19	μB/f.u.
calculated density	9.34	g cm⁻³
energy above the most stable polymorph in this dataset	0.166	eV/atom

```
data_MnAgRh
_chemical_formula_sum 'Mn1 Ag1 Rh1'
_cell_length_a 4.3493
_cell_length_b 4.3493
_cell_length_c 2.8845
_cell_angle_alpha 90.00
_cell_angle_beta 90.00
_cell_angle_gamma 120.00
_space_group_name_H-M_alt 'P 3 m 1'
_space_group_IT_number 156
loop_
_space_group_symop_operation_xyz
'x,y,z'
'-y,x-y,z'
'-x+y,-x,z'
'-y,-x,z'
'-x+y,y,z'
'x,x-y,z'
loop_
_atom_site_label
_atom_site_fract_x
_atom_site_fract_y
_atom_site_fract_z
_atom_site_occupancy
Mn1 0.0000 0.0000 0.0000 1
Ag1 0.3333 0.6667 0.5056 1
Rh1 0.6667 0.3333 0.0085 1
```



No. 6
This record from Alexandria via LeMat-Bulk describes CaLaMg2Ni after structural relaxation. The functional is GGA-PBE.

Output
energy	-3.19	eV per atom
total magnetization	0.00	μB/f.u.
calculated density	3.60	g cm⁻³
energy above the most stable polymorph in this dataset	0.135	eV/atom

```
data_CaLaMg2Ni
_chemical_formula_sum 'Ca1 La1 Mg2 Ni1'
_cell_length_a 5.079
_cell_length_b 5.079
_cell_length_c 5.123
_cell_angle_alpha 90.00
_cell_angle_beta 90.00
_cell_angle_gamma 90.00
_space_group_name_H-M_alt 'P 4/m m m'
_space_group_IT_number 123
_space_group_name_Hall '-P 4 2'
loop_
_atom_site_label
_atom_site_fract_x
_atom_site_fract_y
_atom_site_fract_z
_atom_site_occupancy
Ca1 0.000 0.000 0.000 1
La1 0.500 0.500 0.000 1
Mg1 0.000 0.500 0.500 1
Ni1 0.000 0.000 0.500 1
```



No. 7
This record from Alexandria via LeMat-Bulk describes Ac2YHoTe5 after structural relaxation. The functional is GGA-PBE.

Output
energy	-4.89	eV per atom
total magnetization	0.00	μB/f.u.
calculated density	6.34	g cm⁻³

```
data_Ac2YHoTe5
_chemical_formula_sum 'Ac2 Y1 Ho1 Te5'
_cell_length_a 5.507
_cell_length_b 5.507
_cell_length_c 11.630
_cell_angle_alpha 90.00
_cell_angle_beta 90.00
_cell_angle_gamma 90.00
_space_group_name_H-M_alt 'P 4/m m m'
_space_group_IT_number 123
_space_group_name_Hall '-P 4 2'
loop_
_atom_site_label
_atom_site_fract_x
_atom_site_fract_y
_atom_site_fract_z
_atom_site_occupancy
Ac1 0.000 0.000 0.201 1
Y1 0.500 0.500 0.500 1
Ho1 0.500 0.500 0.000 1
Te1 0.000 0.000 0.500 1
Te2 0.000 0.500 0.000 1
Te3 0.500 0.500 0.255 1
```



No. 8
This record from Alexandria via LeMat-Bulk describes Co2AgAu after structural relaxation. The functional is GGA-PBE.

Output
energy	-4.79	eV per atom
total magnetization	3.58	μB/f.u.
calculated density	11.96	g cm⁻³

```
data_Co2AgAu
_chemical_formula_sum 'Co4 Ag2 Au2'
_cell_length_a 9.591
_cell_length_b 2.875
_cell_length_c 4.568
_cell_angle_alpha 90.00
_cell_angle_beta 111.32
_cell_angle_gamma 90.00
_space_group_name_H-M_alt 'C 1 m 1'
_space_group_IT_number 8
loop_
_space_group_symop_operation_xyz
'x,y,z'
'x,-y,z'
'x+1/2,y+1/2,z'
'x+1/2,-y+1/2,z'
loop_
_atom_site_label
_atom_site_fract_x
_atom_site_fract_y
_atom_site_fract_z
_atom_site_occupancy
Co1 0.000 0.000 0.000 1
Co2 0.196 0.500 0.231 1
Ag1 0.460 0.000 0.465 1
Au1 0.240 0.000 0.771 1
```